Entry 1:
An optimized crystal structure of NaPm2H. Source: Alexandria via LeMat-Bulk, functional PBE.

Calculated values
* volume: 27.83 Å³ per atom
* final energy: -3.5757 eV/atom
* total magnetization: 0.000 μB/cell

a = 3.6119 Å, b = 3.6119 Å, c = 29.5547 Å
α = 90.00°, β = 90.00°, γ = 120.00°
With the nearest neighbours (Å) after each atom.
Space group R-3m (No. 166, hexagonal axes)
Inequivalent atoms, fractional coordinates:
Na 0.0000 0.0000 0.0000 [3 per cell]  2 Pm 3.53, 6 Na 3.61
Pm 0.0000 0.0000 0.1194 [6 per cell]  3 H 2.51
H 0.0000 0.0000 0.5000 [3 per cell]  6 Pm 2.51

=====

Entry 2:
An optimized crystal structure of TaCrBr2. Source: Alexandria via LeMat-Bulk, functional PBE.

Calculated values
* volume: 21.32 Å³ per atom
* uncorrected formation energy: 0.470 eV/atom
* energy above the lowest structure with this stoichiometry: 413 meV per atom
* total magnetization: 11.055 μB/cell

a = 3.3332 Å, b = 3.3332 Å, c = 26.5955 Å
α = 90.00°, β = 90.00°, γ = 120.00°
With the nearest neighbours (Å) after each atom.
Space group R-3m (No. 166, hexagonal axes)
Inequivalent atoms, fractional coordinates:
Ta 0.0000 0.0000 0.0000 [3 per cell]  2 Br 2.58
Cr 0.0000 0.0000 0.5000 [3 per cell]  6 Br 2.67
Br 0.0000 0.0000 0.0970 [6 per cell]  1 Ta 2.58, 3 Cr 2.67

=====

Entry 3:
An optimized crystal structure of NbFe2HgRu. Source: Alexandria via LeMat-Bulk, functional PBE.

Calculated values
* volume: 22.08 Å³ per atom
* final energy: -5.1779 eV/atom
* total magnetization: 4.939 μB/cell

a = 4.6358 Å, b = 4.6358 Å, c = 5.1361 Å
α = 90.00°, β = 90.00°, γ = 90.00°
With the nearest neighbours (Å) after each atom.
Space group P4/mmm (No. 123)
Inequivalent atoms, fractional coordinates:
Nb 0.0000 0.0000 0.0000 [1 per cell]  2 Hg 2.57
Fe 0.0000 0.5000 0.5000 [2 per cell]  2 Hg 2.32
Hg 0.0000 0.0000 0.5000 [1 per cell]  4 Fe 2.32, 2 Nb 2.57
Ru 0.5000 0.5000 0.0000 [1 per cell]  4 Nb 3.28, 8 Fe 3.46

=====

| no. | DOS(E_F) (states/eV/f.u.) |
| --- | --- |
| 1 | 3.044 |
| 2 | 4.997 |
| 3 | 10.932 |